No. 1
The following is a PBE-GGA calculation of a relaxed structure of Na2CdSn, from Alexandria.

Structure (POSCAR):
```
Na2CdSn
1.0
3.227 0.000 0.000
0.000 3.227 0.000
0.000 0.000 9.974
Na Sn Cd
2 1 1
Direct
0.000 0.000 0.251
0.000 0.000 0.749
0.500 0.500 0.000
0.500 0.500 0.500
```

Summary:
Its formation energy from the elements is -47.9 kJ/mol of formula units. As for the total energy: -2.01 eV per atom. As for the total moment: 0.00 Bohr magnetons per cell.

No. 2
The following is a PBE-GGA calculation of a relaxed structure of NaCd2Sn3, from Alexandria.

Structure (POSCAR):
```
NaCd2Sn3
1.0
-3.227 -3.006 0.683
7.817 -3.883 5.264
-5.481 6.580 3.068
Na Cd Sn
2 4 6
Direct
0.886 0.771 0.957
0.114 0.229 0.043
0.236 0.471 0.876
0.764 0.529 0.124
0.535 0.071 0.188
0.465 0.929 0.812
0.283 0.565 0.623
0.717 0.435 0.377
0.589 0.179 0.721
0.081 0.163 0.471
0.919 0.837 0.529
0.411 0.821 0.279
```

Summary:
Its energy above the most stable polymorph in this dataset is 0.00 eV per formula unit. Its formation energy from the elements is -25.0 kJ/mol of formula units. As for the total energy: -2.57 eV per atom. As for the total moment: 0.00 Bohr magnetons per cell.

No. 3
The following is a PBE-GGA calculation of a relaxed structure of Na2Cd4Sn, from Alexandria.

Structure (POSCAR):
```
Na2Cd4Sn
1.0
6.288 0.000 -0.388
0.000 5.654 0.000
-2.468 0.000 10.144
Cd Na Sn
8 4 2
Direct
0.094 0.750 0.457
0.311 0.499 0.715
0.906 0.250 0.543
0.689 0.999 0.285
0.689 0.501 0.285
0.922 0.250 0.105
0.311 0.001 0.715
0.078 0.750 0.895
0.316 0.250 0.406
0.652 0.750 0.986
0.348 0.250 0.014
0.684 0.750 0.594
0.221 0.750 0.200
0.779 0.250 0.800
```

Summary:
Its formation energy from the elements is -68.1 kJ/mol of formula units. As for the total energy: -1.57 eV per atom. As for the total moment: 0.00 Bohr magnetons per cell.

> total moment of number 1 (Na2CdSn)?

0.00 Bohr magnetons per cell

Please write out number 2 again, unchanged.
The following is a PBE-GGA calculation of a relaxed structure of NaCd2Sn3, from Alexandria.

Structure (POSCAR):
```
NaCd2Sn3
1.0
-3.227 -3.006 0.683
7.817 -3.883 5.264
-5.481 6.580 3.068
Na Cd Sn
2 4 6
Direct
0.886 0.771 0.957
0.114 0.229 0.043
0.236 0.471 0.876
0.764 0.529 0.124
0.535 0.071 0.188
0.465 0.929 0.812
0.283 0.565 0.623
0.717 0.435 0.377
0.589 0.179 0.721
0.081 0.163 0.471
0.919 0.837 0.529
0.411 0.821 0.279
```

Summary:
Its energy above the most stable polymorph in this dataset is 0.00 eV per formula unit. Its formation energy from the elements is -25.0 kJ/mol of formula units. As for the total energy: -2.57 eV per atom. As for the total moment: 0.00 Bohr magnetons per cell.

> Which value of total moment does entry 1 give?

0.00 Bohr magnetons per cell

> Which of these has the lowest formation energy from the elements?

Na2Cd4Sn